[1]
A relaxed NaCd12Au5 crystal. Source: Alexandria via LeMat-Bulk, functional GGA-PBE.

abc: 8.3344 9.0834 10.5556
angles: 90.00 90.00 90.00
Closest atoms and distances in Å follow each position.
Space group Immm (No. 71)
One atom of each set of equivalent atoms:
Na 0.0000 0.0000 0.0000 (multiplicity 2)  12 Cd 3.08-3.27
Cd 0.0000 0.2847 0.1697 (multiplicity 8)  3 Au 2.82-2.99, 2 Cd 3.13, 1 Na 3.15
Cd 0.1845 0.0000 0.2524 (multiplicity 8)  3 Au 2.89-3.03, 3 Cd 3.08-3.13, 1 Na 3.08
Cd 0.1880 0.2826 0.5000 (multiplicity 8)  4 Au 2.84-3.01, 1 Cd 3.13
Au 0.0000 0.0000 0.5000 (multiplicity 2)  2 Au 2.78, 8 Cd 3.01-3.03
Au 0.0000 0.5000 0.3622 (multiplicity 4)  8 Cd 2.82-2.91, 1 Au 2.91
Au 0.1669 0.5000 0.0000 (multiplicity 4)  2 Au 2.78, 8 Cd 2.84-2.99

---

[2]
A relaxed NaCd2Au5 crystal. Source: Alexandria via LeMat-Bulk, functional GGA-PBE.

abc: 4.3685 5.6242 13.7414
angles: 90.00 90.00 90.00
Closest atoms and distances in Å follow each position.
Space group Immm (No. 71)
One atom of each set of equivalent atoms:
Na 0.0000 0.0000 0.0000 (multiplicity 2)  10 Au 2.81-3.00
Cd 0.0000 0.5000 0.2134 (multiplicity 4)  7 Au 2.81-2.96
Au 0.0000 0.2501 0.3905 (multiplicity 8)  3 Cd 2.81-2.96, 5 Au 2.81-3.01, 2 Na 3.00
Au 0.0000 0.5000 0.0000 (multiplicity 2)  2 Na 2.81, 2 Cd 2.93, 8 Au 3.00

---

[3]
A relaxed Na3CdAu4 crystal. Source: Alexandria via LeMat-Bulk, functional GGA-PBE.

abc: 4.8237 6.0359 6.4758
angles: 95.91 90.01 90.49
Closest atoms and distances in Å follow each position.
Space group P-1 (No. 2)
One atom of each set of equivalent atoms:
Na 0.0000 0.0000 0.0000 (multiplicity 1)  2 Au 2.82, 2 Cd 3.02
Na 0.4980 0.2277 0.3414 (multiplicity 2)  6 Au 3.04-3.30
Cd 0.0000 0.5000 0.0000 (multiplicity 1)  6 Au 2.85-2.89, 2 Na 3.02
Au 0.0037 0.8024 0.3759 (multiplicity 2)  3 Au 2.74-2.83, 3 Na 2.82-3.05, 1 Cd 2.89
Au 0.4978 0.2952 0.8424 (multiplicity 2)  3 Au 2.83-3.04, 2 Cd 2.85

---

[4]
A relaxed NaCd2Au crystal. Source: Alexandria via LeMat-Bulk, functional GGA-PBE.

abc: 4.3755 4.3755 4.4471
angles: 90.00 90.00 90.00
Closest atoms and distances in Å follow each position.
Space group P4/mmm (No. 123)
One atom of each set of equivalent atoms:
Na 0.0000 0.0000 0.0000 (multiplicity 1)  4 Au 3.09, 8 Cd 3.12
Cd 0.0000 0.5000 0.5000 (multiplicity 2)  4 Cd 3.09, 4 Na 3.12, 4 Au 3.12
Au 0.5000 0.5000 0.0000 (multiplicity 1)  4 Na 3.09, 8 Cd 3.12

Values from the calculation:
Energy above the lowest structure with this stoichiometry ... 0.090 eV/atom

---

[5]
A relaxed Na3CdAu crystal. Source: Alexandria via LeMat-Bulk, functional GGA-PBE.

abc: 5.5669 5.5669 5.5669
angles: 90.00 90.00 90.00
Closest atoms and distances in Å follow each position.
Space group Pm-3m (No. 221)
One atom of each set of equivalent atoms:
Na 0.0000 0.0000 0.5000 (multiplicity 3)  2 Au 2.78
Cd 0.5000 0.5000 0.5000 (multiplicity 1)  12 Na 3.94
Au 0.0000 0.0000 0.0000 (multiplicity 1)  6 Na 2.78

Values from the calculation:
Energy above the lowest structure with this stoichiometry ... 0.171 eV/atom

---

[6]
A relaxed Na4Cd2Au crystal. Source: Alexandria via LeMat-Bulk, functional GGA-PBE.

abc: 6.3288 7.5604 9.2710
angles: 74.78 71.12 67.34
Closest atoms and distances in Å follow each position.
Space group P1 (No. 1)
One atom of each set of equivalent atoms:
Na 0.0000 0.0000 0.0000 (multiplicity 1)  2 Au 3.04-3.07, 3 Cd 3.20-3.39, 2 Na 3.21-3.23
Na 0.0055 0.5139 0.4708 (multiplicity 1)  2 Au 3.04-3.07, 3 Cd 3.20-3.39, 2 Na 3.20-3.23
Na 0.0283 0.0285 0.3769 (multiplicity 1)  1 Au 3.03, 1 Cd 3.27
Na 0.4427 0.0028 0.6128 (multiplicity 1)  2 Au 3.12-3.13, 1 Cd 3.21, 2 Na 3.38-3.45
Na 0.4945 0.0619 0.9477 (multiplicity 1)  2 Au 3.05-3.08, 3 Na 3.21-3.38, 3 Cd 3.33-3.41
Na 0.5104 0.4532 0.5236 (multiplicity 1)  2 Au 3.06-3.08, 3 Na 3.20-3.38, 3 Cd 3.33-3.41
Na 0.5624 0.5117 0.8583 (multiplicity 1)  2 Au 3.11-3.13, 1 Cd 3.22, 2 Na 3.38-3.44
Na 0.9761 0.4853 0.0945 (multiplicity 1)  1 Au 3.03, 1 Cd 3.27
Cd 0.0033 0.7571 0.7359 (multiplicity 1)  2 Au 2.79
Cd 0.3705 0.6763 0.1796 (multiplicity 1)  2 Cd 2.89-2.96, 2 Na 3.20-3.22
Cd 0.5033 0.2573 0.2357 (multiplicity 1)  2 Cd 2.89
Cd 0.6349 0.8385 0.2916 (multiplicity 1)  2 Cd 2.89-2.96, 2 Na 3.20-3.21
Au 0.1122 0.3545 0.7854 (multiplicity 1)  1 Cd 2.79, 1 Au 2.84, 6 Na 3.03-3.11
Au 0.8925 0.1598 0.6857 (multiplicity 1)  1 Cd 2.79, 1 Au 2.84, 6 Na 3.03-3.12

Values from the calculation:
Energy above the lowest structure with this stoichiometry ... 0.000 eV/atom

---

[7]
A relaxed Na3Cd6Au crystal. Source: Alexandria via LeMat-Bulk, functional GGA-PBE.

abc: 10.3820 10.3820 16.4620
angles: 90.00 90.00 120.00
Closest atoms and distances in Å follow each position.
Space group R-3 (No. 148, hexagonal axes)
One atom of each set of equivalent atoms:
Na 0.0889 0.5167 0.3239 (multiplicity 18)  6 Cd 3.15-3.43, 1 Au 3.41
Cd 0.0238 0.4570 0.1313 (multiplicity 18)  1 Au 2.90, 5 Cd 2.92-3.08, 3 Na 3.15-3.24
Cd 0.0567 0.8695 0.8592 (multiplicity 18)  6 Cd 2.87-3.08, 1 Au 2.89
Au 0.0000 0.0000 0.0000 (multiplicity 3)  6 Cd 2.89
Au 0.0000 0.0000 0.5000 (multiplicity 3)  6 Cd 2.90

---

[8]
A relaxed Na2CdAu2 crystal. Source: Alexandria via LeMat-Bulk, functional GGA-PBE.

abc: 8.7025 8.7025 2.9172
angles: 90.00 90.00 90.00
Closest atoms and distances in Å follow each position.
Space group P4/mbm (No. 127)
One atom of each set of equivalent atoms:
Na 0.1314 0.3686 0.0000 (multiplicity 4)  6 Au 2.89-2.98, 3 Na 2.92-3.23
Cd 0.0000 0.0000 0.0000 (multiplicity 2)  2 Cd 2.92
Au 0.1656 0.6656 0.5000 (multiplicity 4)  6 Na 2.89-2.98, 2 Au 2.92

Values from the calculation:
Energy above the lowest structure with this stoichiometry ... 0.153 eV/atom

---

[9]
A relaxed Na3Cd4Au2 crystal. Source: Alexandria via LeMat-Bulk, functional GGA-PBE.

abc: 10.8436 4.9298 9.2340
angles: 90.00 121.50 90.00
Closest atoms and distances in Å follow each position.
Space group C2/m (No. 12)
One atom of each set of equivalent atoms:
Na 0.0000 0.0000 0.0000 (multiplicity 2)  8 Cd 3.14-3.50, 4 Au 3.29, 2 Na 3.32
Na 0.1622 0.5000 0.6720 (multiplicity 4)  8 Cd 3.16-3.43, 4 Au 3.23-3.40, 2 Na 3.28-3.32
Cd 0.0875 0.0000 0.4170 (multiplicity 4)  3 Au 2.86-3.02, 1 Cd 3.00
Cd 0.1915 0.5000 0.0307 (multiplicity 4)  2 Au 2.83-3.00, 2 Cd 2.96, 3 Na 3.14-3.16
Au 0.1096 0.5000 0.2756 (multiplicity 4)  5 Cd 2.83-3.02

Values from the calculation:
Energy above the lowest structure with this stoichiometry ... 0.008 eV/atom

---

[10]
A relaxed Na5Cd2Au2 crystal. Source: Alexandria via LeMat-Bulk, functional GGA-PBE.

abc: 18.9415 6.2346 8.0851
angles: 90.00 90.00 90.00
Closest atoms and distances in Å follow each position.
Space group Ima2 (No. 46)
One atom of each set of equivalent atoms:
Na 0.0907 0.1319 0.0000 (multiplicity 8)  3 Au 3.16-3.31, 3 Cd 3.27-3.43, 1 Na 3.49
Na 0.1646 0.6115 0.1400 (multiplicity 8)  3 Au 2.98-3.20, 2 Cd 3.04-3.12, 1 Na 3.24
Na 0.2500 0.0923 0.2955 (multiplicity 4)  2 Au 2.96-3.11
Cd 0.0561 0.6564 0.8514 (multiplicity 8)  2 Au 2.83-2.91, 1 Cd 2.88, 2 Na 3.04-3.12
Au 0.0000 0.0000 0.6644 (multiplicity 4)  4 Cd 2.83-2.91, 2 Na 3.16
Au 0.2500 0.5511 0.4460 (multiplicity 4)  8 Na 2.96-3.26

Values from the calculation:
Energy above the lowest structure with this stoichiometry ... 0.000 eV/atom

---

[11]
A relaxed Na7Cd3Au crystal. Source: Alexandria via LeMat-Bulk, functional GGA-PBE.

abc: 3.3976 27.6602 13.0114
angles: 90.00 90.00 90.00
Closest atoms and distances in Å follow each position.
Space group Cmcm (No. 63)
One atom of each set of equivalent atoms:
Na 0.0000 0.0297 0.1332 (multiplicity 8)  5 Na 3.04-3.40, 2 Au 3.09, 2 Cd 3.36
Na 0.0000 0.0885 0.5833 (multiplicity 8)  2 Au 3.00, 3 Na 3.13-3.33, 2 Cd 3.31
Na 0.0000 0.2004 0.5479 (multiplicity 8)  5 Na 3.13-3.46, 4 Cd 3.38-3.43
Na 0.0000 0.2242 0.2500 (multiplicity 4)  5 Cd 3.36-3.37, 2 Na 3.40
Cd 0.0000 0.3455 0.2500 (multiplicity 4)  1 Au 3.01, 5 Na 3.31-3.36
Cd 0.0000 0.3657 0.6334 (multiplicity 8)  1 Cd 3.03, 4 Na 3.36-3.37
Au 0.0000 0.4545 0.2500 (multiplicity 4)  8 Na 3.00-3.09, 1 Cd 3.01

---

[12]
A relaxed Na2CdAu2 crystal. Source: Alexandria via LeMat-Bulk, functional GGA-PBE.

abc: 9.7455 5.7304 8.8283
angles: 90.00 105.30 90.00
Closest atoms and distances in Å follow each position.
Space group C2/c (No. 15)
One atom of each set of equivalent atoms:
Na 0.1516 0.1372 0.1531 (multiplicity 8)  5 Au 3.05-3.22, 2 Cd 3.28-3.31
Cd 0.0000 0.3370 0.7500 (multiplicity 4)  4 Au 2.79-2.84
Au 0.1316 0.3686 0.5058 (multiplicity 8)  2 Au 2.70-2.95, 2 Cd 2.79-2.84

Values from the calculation:
Energy above the lowest structure with this stoichiometry ... 0.007 eV/atom

---

Magnetization (μB per atom)
0.00 0.00 0.00 0.00 0.00 0.00 0.00 0.00 0.00 0.00 0.00 0.00
Volume (Å³/cell)
799.1 337.6 187.5 85.1 172.5 382.5 1536.6 220.9 420.9 954.8 1222.8 475.6
Formation energy from the elements (meV per atom)
-124 -170 -245 -161 -8 -158 -115 -152 -222 -186 -98 -298